Computed, not measured: a relaxed structure of MgNi6Rh3 at the PBE level of DFT.

```
MgNi6Rh3
1.0
-2.723 -3.367 4.935
6.183 -2.169 1.931
-2.470 5.813 2.603
Mg Ni Rh
2 12 6
Direct
0.990 0.196 0.804
0.490 0.804 0.196
0.129 0.791 0.570
0.629 0.570 0.791
0.302 0.458 0.915
0.802 0.915 0.458
0.227 0.004 0.996
0.604 0.213 0.787
0.104 0.787 0.213
0.727 0.996 0.004
0.302 0.085 0.542
0.802 0.542 0.085
0.129 0.430 0.209
0.629 0.209 0.430
0.499 0.826 0.647
0.999 0.647 0.826
0.304 0.450 0.550
0.804 0.550 0.450
0.999 0.174 0.353
0.499 0.353 0.174
```

Calculated values
SG: No. 36
Calculated formation energy: 18.89 kJ per mole of atoms
DOS at the Fermi energy: 15.4 states/eV/f.u.
E_tot: -0.4144 Ry/atom